(1)
ReSi2Se (PBE, relaxed); energy relative to the elements, uncorrected = 0.186 eV/atom; SG = R-3m
1.0
1.589 0.918 7.177
-1.589 0.918 7.177
0.000 -1.835 7.177
Re Si Se
1 2 1
Direct
0.000 0.000 0.000 Re
0.254 0.254 0.254 Si
0.746 0.746 0.746 Si
0.500 0.500 0.500 Se

=====

(2)
Pm5TmSc4 (PBE, relaxed); offset from the most stable computed form = 0.000 eV/atom; SG = P4/mmm
1.0
3.566 0.000 0.000
0.000 3.566 0.000
0.000 0.000 23.350
Pm Tm Sc
5 1 4
Direct
0.000 0.000 0.000 Pm
0.000 0.000 0.196 Pm
0.000 0.000 0.393 Pm
0.000 0.000 0.607 Pm
0.000 0.000 0.804 Pm
0.500 0.500 0.500 Tm
0.500 0.500 0.098 Sc
0.500 0.500 0.295 Sc
0.500 0.500 0.705 Sc
0.500 0.500 0.902 Sc

=====

(3)
Pr2Si2PbS8 (PBE, relaxed); energy relative to the elements, uncorrected = -1.236 eV/atom; SG = Cc
1.0
7.803 -4.584 0.000
7.803 4.584 0.000
-4.979 0.000 8.987
Pr Si Pb S
4 4 2 16
Direct
0.059 0.941 0.500 Pr
0.248 0.442 0.996 Pr
0.442 0.248 0.496 Pr
0.941 0.059 0.000 Pr
0.173 0.651 0.726 Si
0.324 0.856 0.267 Si
0.651 0.173 0.226 Si
0.856 0.324 0.767 Si
0.581 0.746 0.988 Pb
0.746 0.581 0.488 Pb
0.075 0.265 0.699 S
0.095 0.793 0.190 S
0.103 0.584 0.488 S
0.227 0.884 0.812 S
0.265 0.075 0.199 S
0.395 0.432 0.794 S
0.401 0.931 0.505 S
0.432 0.395 0.294 S
0.516 0.626 0.169 S
0.584 0.103 0.988 S
0.626 0.516 0.669 S
0.705 0.970 0.313 S
0.793 0.095 0.690 S
0.884 0.227 0.312 S
0.931 0.401 0.005 S
0.970 0.705 0.813 S

=====

(4)
SrSn3F (PBE, relaxed); energy relative to the elements, uncorrected = -0.721 eV/atom; offset from the most stable computed form = 0.000 eV/atom; SG = Pm-3m
1.0
5.094 0.000 0.000
0.000 5.094 0.000
0.000 0.000 5.094
Sr Sn F
1 3 1
Direct
0.000 0.000 0.000 Sr
0.000 0.500 0.500 Sn
0.500 0.000 0.500 Sn
0.500 0.500 0.000 Sn
0.500 0.500 0.500 F

=====

(5)
Mg2Ge2Pt (PBE, relaxed); total DFT energy (no corrections) = -0.301 Ry/atom; SG = P4/mbm
1.0
6.442 0.000 0.000
0.000 6.442 0.000
0.000 0.000 4.441
Mg Ge Pt
4 4 2
Direct
0.174 0.326 0.000 Mg
0.326 0.826 0.000 Mg
0.674 0.174 0.000 Mg
0.826 0.674 0.000 Mg
0.137 0.637 0.500 Ge
0.363 0.137 0.500 Ge
0.637 0.863 0.500 Ge
0.863 0.363 0.500 Ge
0.000 0.000 0.500 Pt
0.500 0.500 0.500 Pt

=====

(6)
BiBSe3 (PBE, relaxed); energy relative to the elements, uncorrected = 0.439 eV/atom; offset from the most stable computed form = 0.481 eV/atom; SG = Pm-3m
1.0
4.617 0.000 0.000
0.000 4.617 0.000
0.000 0.000 4.617
Bi B Se
1 1 3
Direct
0.000 0.000 0.000 Bi
0.500 0.500 0.500 B
0.000 0.500 0.500 Se
0.500 0.000 0.500 Se
0.500 0.500 0.000 Se

=====

(7)
TlPdIBr2 (PBE, relaxed); energy relative to the elements, uncorrected = -0.434 eV/atom; offset from the most stable computed form = 0.014 eV/atom; SG = P4/mmm
1.0
5.256 0.000 0.000
0.000 5.256 0.000
0.000 0.000 5.557
Tl Pd I Br
1 1 1 2
Direct
0.000 0.000 0.000 Tl
0.500 0.500 0.500 Pd
0.500 0.500 0.000 I
0.000 0.500 0.500 Br
0.500 0.000 0.500 Br

=====

(8)
ScFeTc2 (PBE, relaxed); offset from the most stable computed form = 0.032 eV/atom; SG = Imm2
1.0
-1.567 2.204 4.364
1.567 -2.204 4.364
1.567 2.204 -4.364
Sc Fe Tc
1 1 2
Direct
0.000 0.000 0.000 Sc
0.738 0.238 0.500 Fe
0.262 0.762 0.500 Tc
0.501 0.501 0.000 Tc

=====

(9)
Ca2AlHg4 (PBE, relaxed); total DFT energy (no corrections) = -0.116 Ry/atom; SG = R-3m
1.0
2.307 1.332 10.411
-2.307 1.332 10.411
0.000 -2.664 10.411
Ca Al Hg
2 1 4
Direct
0.249 0.249 0.249 Ca
0.751 0.751 0.751 Ca
0.500 0.500 0.500 Al
0.135 0.135 0.135 Hg
0.359 0.359 0.359 Hg
0.641 0.641 0.641 Hg
0.865 0.865 0.865 Hg

=====

(10)
Ac2TbPmEr (PBE, relaxed); total DFT energy (no corrections) = -0.306 Ry/atom; SG = Pmma
1.0
6.434 0.000 0.000
0.000 8.977 0.000
0.000 0.000 6.700
Ac Tb Pm Er
4 2 2 2
Direct
0.250 0.204 0.212 Ac
0.250 0.796 0.212 Ac
0.750 0.204 0.788 Ac
0.750 0.796 0.788 Ac
0.250 0.000 0.684 Tb
0.750 0.000 0.316 Tb
0.250 0.500 0.918 Pm
0.750 0.500 0.082 Pm
0.000 0.500 0.500 Er
0.500 0.500 0.500 Er

=====

(11)
ReAg2 (PBE, relaxed); offset from the most stable computed form = 0.662 eV/atom; SG = P6_3/mmc
1.0
5.098 0.000 0.000
-2.549 4.415 0.000
0.000 0.000 9.158
Re Ag
4 8
Direct
0.333 0.667 0.029 Re
0.333 0.667 0.471 Re
0.667 0.333 0.529 Re
0.667 0.333 0.971 Re
0.000 0.000 0.000 Ag
0.000 0.000 0.500 Ag
0.169 0.338 0.750 Ag
0.169 0.831 0.750 Ag
0.338 0.169 0.250 Ag
0.662 0.831 0.750 Ag
0.831 0.169 0.250 Ag
0.831 0.662 0.250 Ag

=====

(12)
Ac3Cu2Os (PBE, relaxed); total DFT energy (no corrections) = -0.393 Ry/atom; SG = Pnma
1.0
12.578 0.000 0.000
0.000 4.357 0.000
0.000 0.000 12.456
Ac Cu Os
12 8 4
Direct
0.055 0.250 0.126 Ac
0.116 0.750 0.555 Ac
0.224 0.250 0.797 Ac
0.276 0.750 0.297 Ac
0.384 0.250 0.055 Ac
0.445 0.750 0.626 Ac
0.555 0.250 0.374 Ac
0.616 0.750 0.945 Ac
0.724 0.250 0.703 Ac
0.776 0.750 0.203 Ac
0.884 0.250 0.445 Ac
0.945 0.750 0.874 Ac
0.025 0.750 0.312 Cu
0.203 0.750 0.992 Cu
0.297 0.250 0.492 Cu
0.475 0.250 0.812 Cu
0.525 0.750 0.188 Cu
0.703 0.750 0.508 Cu
0.797 0.250 0.008 Cu
0.975 0.250 0.688 Cu
0.124 0.250 0.368 Os
0.376 0.750 0.868 Os
0.624 0.250 0.132 Os
0.876 0.750 0.632 Os